# 1
Entry from Alexandria via LeMat-Bulk: a geometry-optimized Ca2PH2 structure (PBE).

The structure belongs to space group P4/mbm (No. 127); the cell edges are 7.036, 7.036 and 3.025 Å and the angles 90.00°, 90.00° and 90.00°. The asymmetric unit holds Ca at (0.173, 0.327, 0.000), P at (0.000, 0.000, 0.500) and H at (0.106, 0.606, 0.500).

Its raw total energy is -36.32 eV per cell. The value obtained for the offset from the most stable computed form is 274.8 meV per atom. For the volume, the calculation gives 15.0 A^3/atom.

=====

# 2
Entry from Alexandria via LeMat-Bulk: a geometry-optimized LaDyGa structure (PBE).

The structure belongs to space group C2/m (No. 12); the cell edges are 11.916, 4.552 and 8.406 Å and the angles 90.00°, 129.20° and 90.00°. The asymmetric unit holds La at (0.087, 0.000, 0.365), Dy at (0.174, 0.500, 0.069) and Ga at (0.136, 0.500, 0.674).

Its raw total energy is -54.42 eV per cell. The value obtained for the offset from the most stable computed form is 38.2 meV per atom. For the formation energy, the calculation gives -1.05 eV/f.u. For the volume, the calculation gives 29.4 A^3/atom.

=====

# 3
Entry from Alexandria via LeMat-Bulk: a geometry-optimized TlGe2I6 structure (PBE).

The structure belongs to space group C2/c (No. 15); the cell edges are 15.596, 14.105 and 10.297 Å and the angles 90.00°, 116.99° and 90.00°. The asymmetric unit holds Tl at (0.000, 0.109, 0.250), Ge at (0.184, 0.430, 0.228), I at (0.122, 0.065, 0.636), I at (0.139, 0.485, 0.456) and I at (0.157, 0.245, 0.173).

Its raw total energy is -94.97 eV per cell. For the volume, the calculation gives 56.1 A^3/atom. For the uncorrected formation energy, the calculation gives -0.3155 eV per atom.

=====

# 4
Entry from Alexandria via LeMat-Bulk: a geometry-optimized Sb2TeRu structure (PBE).

The structure belongs to space group I-42d (No. 122); the cell edges are 6.571, 6.571 and 11.982 Å and the angles 90.00°, 90.00° and 90.00°. The asymmetric unit holds Sb at (0.179, 0.250, 0.125), Te at (0.000, 0.000, 0.500) and Ru at (0.000, 0.000, 0.000).

Its raw total energy is -78.30 eV per cell. For the volume, the calculation gives 32.3 A^3/atom. For the uncorrected formation energy, the calculation gives 0.2721 eV per atom.

=====

# 5
Entry from Alexandria via LeMat-Bulk: a geometry-optimized Ga2Fe2S5 structure (PBE).

The structure belongs to space group P-3m1 (No. 164); the cell edges are 3.6312, 3.6312 and 15.5199 Å and the angles 90.00°, 90.00° and 120.00°. The asymmetric unit holds Ga at (0.3333, 0.6667, 0.1880), Fe at (0.3333, 0.6667, 0.5841), S at (0.0000, 0.0000, 0.5000), S at (0.3333, 0.6667, 0.3319) and S at (0.3333, 0.6667, 0.8801).

Its raw total energy is -47.41 eV per cell. The value obtained for the offset from the most stable computed form is 22.1 meV per atom. For the volume, the calculation gives 19.7 A^3/atom. For the uncorrected formation energy, the calculation gives -0.4219 eV per atom.

=====

# 6
Entry from Alexandria via LeMat-Bulk: a geometry-optimized Ca2CoPt structure (PBE).

The structure belongs to space group P4mm (No. 99); the cell edges are 3.462, 3.462 and 8.083 Å and the angles 90.00°, 90.00° and 90.00°. The asymmetric unit holds Ca at (0.000, 0.000, 0.000), Ca at (0.500, 0.500, 0.409), Co at (0.000, 0.000, 0.662) and Pt at (0.500, 0.500, 0.759).

Its raw total energy is -17.55 eV per cell. For the formation energy, the calculation gives -0.40 eV/f.u. For the volume, the calculation gives 24.2 A^3/atom.